Here is crystalline La3TlAs at its relaxed geometry from the Alexandria database. Energies are from GGA-PBEsol.

Results
DFT formation energy: 270 meV per atom
Magnetic moment: 0.00 μB per cell

Cell lengths 5.8540, 5.8540, 5.8540 Å; angles 90.00, 90.00, 90.00 degrees
Space group Pm-3m (No. 221)
One atom of each set of equivalent atoms:
La  0.0000  0.0000  0.5000
Tl  0.0000  0.0000  0.0000
As  0.5000  0.5000  0.5000